VASP calculation (PBE+U) on crystalline Na2TiNiO4 at its relaxed geometry.

Properties
total magnetic moment = 2.00 μB per cell
D(E_F) = 0.0 states/eV/cell
uncorrected energy = -49.43 eV/cell
volume = 10.8 Å³/atom

The structure in POSCAR format:
```
Na2TiNiO4
1.0
5.2663 0.0000 0.0000
0.0000 3.0438 0.0000
-1.7643 0.0000 5.3839
Na Ti Ni O
2 1 1 4
direct
0.0000 0.0000 0.0000
0.5000 0.5000 0.0000
0.0000 0.5000 0.5000
0.5000 0.0000 0.5000
0.2176 0.0000 0.7032
0.2468 0.5000 0.3022
0.7532 0.5000 0.6978
0.7824 0.0000 0.2968
```